# 1
First-principles (meta-GGA SCAN) data for CsBiIN2 at its PBEsol-relaxed geometry, as listed in Alexandria.

D(E_F) = 2.6 states/eV/cell
SG = P4/mmm
formation energy (no corrections) = 0.9054 eV/atom

The structure in POSCAR format:
```
CsBiIN2
1.0
4.818 0.000 0.000
0.000 4.818 0.000
0.000 0.000 6.367
Cs I Bi N
1 1 1 2
Cartesian
2.409 2.409 3.184 Cs
0.000 0.000 3.184 I
0.000 0.000 0.000 Bi
0.000 2.409 0.000 N
2.409 0.000 0.000 N
```

# 2
First-principles (meta-GGA SCAN) data for LiCoPO4 at its PBEsol-relaxed geometry, as listed in Alexandria.

SG = R-3
formation energy (no corrections) = -2.1561 eV/atom

The structure in POSCAR format:
```
LiCoPO4
1.0
4.742 0.000 0.000
2.371 4.106 0.000
2.371 1.369 7.861
Li Co P O
2 2 2 8
Cartesian
7.112 4.106 6.674 Li
2.371 1.369 1.186 Li
7.112 4.106 3.846 Co
2.371 1.369 4.014 Co
4.742 2.738 2.134 P
4.742 2.738 5.727 P
4.742 2.738 7.222 O
4.742 2.738 0.639 O
3.268 2.673 2.673 O
4.060 1.429 5.188 O
6.215 2.802 5.188 O
5.534 1.494 2.673 O
5.423 4.046 2.673 O
3.949 3.981 5.188 O
```

# 3
First-principles (meta-GGA SCAN) data for KScSeBr2 at its PBEsol-relaxed geometry, as listed in Alexandria.

D(E_F) = 0.0 states/eV/cell
SG = P4/mmm
formation energy (no corrections) = -1.7753 eV/atom

The structure in POSCAR format:
```
KScSeBr2
1.0
-4.544 1.994 -1.193
-1.782 -1.115 4.925
1.664 4.802 1.689
Sc K Se Br
1 1 1 2
Cartesian
0.000 0.000 0.000 Sc
-2.331 2.840 2.711 K
-2.272 0.997 -0.596 Se
0.832 2.401 0.845 Br
-0.891 -0.558 2.463 Br
```

# 4
First-principles (meta-GGA SCAN) data for Zn3Au at its PBEsol-relaxed geometry, as listed in Alexandria.

D(E_F) = 1.4 states/eV/cell
SG = Cmcm
ΔH_f (0 K) = -0.17 eV per atom

The structure in POSCAR format:
```
Zn3Au
1.0
4.390 0.000 0.000
0.000 5.427 0.000
0.000 2.714 4.927
Zn Au
6 2
Cartesian
3.292 2.714 4.156 Zn
3.292 1.330 1.598 Zn
3.292 4.097 1.598 Zn
1.097 5.427 0.770 Zn
1.097 6.810 3.328 Zn
1.097 4.044 3.328 Zn
3.292 5.427 3.957 Au
1.097 2.714 0.969 Au
```

# 5
First-principles (meta-GGA SCAN) data for Mn2CoIr at its PBEsol-relaxed geometry, as listed in Alexandria.

D(E_F) = 3.6 states/eV/cell
SG = I4/mmm
ΔH_f (0 K) = -0.13 eV per atom

The structure in POSCAR format:
```
Mn2CoIr
1.0
3.560 0.000 0.000
0.000 3.560 0.000
-1.780 -1.780 3.576
Ir Co Mn
1 1 2
Cartesian
0.000 0.000 0.000 Ir
1.780 1.780 0.000 Co
1.780 0.000 1.788 Mn
0.000 1.780 1.788 Mn
```

# 6
First-principles (meta-GGA SCAN) data for Mg2Zn3Cu4 at its PBEsol-relaxed geometry, as listed in Alexandria.

D(E_F) = 2.1 states/eV/cell
SG = C2/m
ΔH_f (0 K) = -0.09 eV per atom

The structure in POSCAR format:
```
Mg2Zn3Cu4
1.0
-3.536 0.260 -2.448
-2.550 -2.262 3.443
1.496 5.928 2.261
Cu Mg Zn
4 2 3
Cartesian
-0.366 2.495 0.794 Cu
-4.224 1.431 2.462 Cu
-3.765 -0.889 1.552 Cu
-0.825 4.816 1.703 Cu
-1.908 2.562 3.028 Mg
-2.682 1.365 0.228 Mg
-1.539 -0.015 2.221 Zn
-3.051 3.941 1.035 Zn
0.000 0.000 0.000 Zn
```

# 7
First-principles (meta-GGA SCAN) data for Cs3NaCl at its PBEsol-relaxed geometry, as listed in Alexandria.

D(E_F) = 3.1 states/eV/cell
SG = Pm-3m
formation energy (no corrections) = -0.8558 eV/atom

The structure in POSCAR format:
```
Cs3NaCl
1.0
-3.967 -4.403 -3.360
2.260 -5.060 3.963
-5.057 1.193 4.407
Cs Na Cl
3 1 1
Cartesian
1.130 -2.530 1.981 Cs
-2.528 0.596 2.203 Cs
-1.983 -2.202 -1.680 Cs
-3.382 -4.135 2.505 Na
0.000 0.000 0.000 Cl
```

# 8
First-principles (meta-GGA SCAN) data for Mg2InRh at its PBEsol-relaxed geometry, as listed in Alexandria.

D(E_F) = 1.6 states/eV/cell
SG = P4mm
ΔH_f (0 K) = -0.35 eV per atom

The structure in POSCAR format:
```
Mg2InRh
1.0
3.390 0.000 0.000
0.000 3.390 0.000
0.000 0.000 6.258
Mg Rh In
2 1 1
Cartesian
0.000 0.000 0.009 Mg
1.695 1.695 1.758 Mg
0.000 0.000 3.082 Rh
1.695 1.695 4.538 In
```

# 9
First-principles (meta-GGA SCAN) data for Si2BOsC at its PBEsol-relaxed geometry, as listed in Alexandria.

D(E_F) = 3.4 states/eV/cell
SG = P4/mmm
formation energy (no corrections) = 1.6801 eV/atom

The structure in POSCAR format:
```
Si2BOsC
1.0
3.787 0.000 0.000
0.000 4.682 0.000
0.000 0.000 4.682
Si B Os C
2 1 1 1
Cartesian
0.000 0.000 2.341 Si
0.000 2.341 0.000 Si
1.894 2.341 2.341 B
0.000 0.000 0.000 Os
1.894 0.000 0.000 C
```

# 10
First-principles (meta-GGA SCAN) data for Be2Mo2Au at its PBEsol-relaxed geometry, as listed in Alexandria.

D(E_F) = 5.7 states/eV/cell
SG = P4/mbm
ΔH_f (0 K) = -0.11 eV per atom

The structure in POSCAR format:
```
Be2Mo2Au
1.0
-2.755 1.553 -1.264
-1.605 -5.099 -2.770
-3.156 -1.645 4.856
Be Mo Au
4 4 2
Cartesian
-3.387 -3.385 3.221 Be
-3.369 -5.507 0.574 Be
-1.374 -3.359 -1.134 Be
-1.392 -1.237 1.513 Be
-3.779 -1.212 2.157 Mo
-5.067 -4.015 1.520 Mo
-3.736 -3.978 -1.334 Mo
-2.448 -1.175 -0.697 Mo
0.000 0.000 0.000 Au
-2.380 -3.372 1.043 Au
```

# 11
First-principles (meta-GGA SCAN) data for CaAg4 at its PBEsol-relaxed geometry, as listed in Alexandria.

D(E_F) = 2.1 states/eV/cell
SG = Im-3m
ΔH_f (0 K) = 0.68 eV per atom

The structure in POSCAR format:
```
CaAg4
1.0
-4.758 -0.852 2.488
1.815 -4.678 -2.092
3.610 1.899 3.594
Ag Ca
4 1
Cartesian
1.805 0.949 1.797 Ag
0.907 -2.339 -1.046 Ag
-2.379 -0.426 1.244 Ag
0.333 -1.816 1.995 Ag
0.000 0.000 0.000 Ca
```

# 12
First-principles (meta-GGA SCAN) data for YI2O2 at its PBEsol-relaxed geometry, as listed in Alexandria.

D(E_F) = 2.0 states/eV/cell
SG = P4/mmm
formation energy (no corrections) = -0.1783 eV/atom

The structure in POSCAR format:
```
YI2O2
1.0
-1.332 -2.288 3.239
-0.896 -3.155 -2.597
6.126 -2.412 0.816
I Y O
2 1 2
Cartesian
0.000 0.000 0.000 I
3.063 -1.206 0.408 I
1.949 -3.927 0.729 Y
-0.448 -1.577 -1.299 O
-0.666 -1.144 1.619 O
```

# 13
First-principles (meta-GGA SCAN) data for YCoF2 at its PBEsol-relaxed geometry, as listed in Alexandria.

D(E_F) = 1.8 states/eV/cell
SG = I-42d
formation energy (no corrections) = -1.8223 eV/atom

The structure in POSCAR format:
```
YCoF2
1.0
-0.119 3.650 -1.326
0.235 -1.318 -3.647
-7.266 -1.523 2.150
Y Co F
2 2 4
Cartesian
-3.486 -0.837 -1.992 Y
0.000 0.000 0.000 Y
-3.663 1.646 -0.831 Co
0.058 1.166 -2.487 Co
-1.831 2.285 -1.978 F
-1.656 -0.131 -3.163 F
-5.379 0.328 -1.462 F
-5.433 -0.863 0.957 F
```

# 14
First-principles (meta-GGA SCAN) data for EuInPd at its PBEsol-relaxed geometry, as listed in Alexandria.

D(E_F) = 18.3 states/eV/cell
SG = P-62m
ΔH_f (0 K) = -0.78 eV per atom

The structure in POSCAR format:
```
EuInPd
1.0
-2.459 2.982 -1.291
-5.713 -2.991 3.971
4.553 5.138 3.198
Eu In Pd
3 3 3
Cartesian
-1.913 2.756 3.578 Eu
0.641 3.602 0.668 Eu
-3.577 0.262 0.986 Eu
-0.292 0.540 1.805 In
3.407 3.845 2.393 In
-4.275 -2.238 2.972 In
-2.291 -0.281 3.713 Pd
1.131 2.428 3.456 Pd
-1.229 1.491 -0.646 Pd
```

# 15
First-principles (meta-GGA SCAN) data for Al2SbTe at its PBEsol-relaxed geometry, as listed in Alexandria.

D(E_F) = 1.8 states/eV/cell
SG = I-4m2
formation energy (no corrections) = 0.2564 eV/atom

The structure in POSCAR format:
```
Al2SbTe
1.0
4.120 0.000 0.000
0.000 4.120 0.000
-2.060 -2.060 5.398
Sb Te Al
1 1 2
Cartesian
2.060 2.060 0.000 Sb
0.000 2.060 2.699 Te
0.000 0.000 0.000 Al
2.060 0.000 2.699 Al
```

# 16
First-principles (meta-GGA SCAN) data for TaCr2Os at its PBEsol-relaxed geometry, as listed in Alexandria.

D(E_F) = 4.3 states/eV/cell
SG = R-3m
ΔH_f (0 K) = 0.35 eV per atom

The structure in POSCAR format:
```
TaCr2Os
1.0
2.697 0.000 0.000
1.349 2.336 0.000
1.349 0.779 8.829
Cr Os Ta
2 1 1
Cartesian
1.349 0.779 2.354 Cr
4.046 2.336 6.475 Cr
2.697 1.557 4.415 Os
0.000 0.000 0.000 Ta
```

# 17
First-principles (meta-GGA SCAN) data for LaCu13 at its PBEsol-relaxed geometry, as listed in Alexandria.

D(E_F) = 9.6 states/eV/cell
SG = Fm-3c
ΔH_f (0 K) = -0.08 eV per atom

The structure in POSCAR format:
```
LaCu13
1.0
8.060 0.000 0.000
4.030 6.980 0.000
4.030 2.327 6.581
Cu La
26 2
Cartesian
8.060 4.653 3.290 Cu
0.000 0.000 0.000 Cu
7.117 6.871 3.704 Cu
9.002 5.783 5.243 Cu
7.117 3.524 1.338 Cu
9.002 2.436 2.876 Cu
9.509 6.578 2.876 Cu
9.509 4.402 1.338 Cu
6.610 4.904 5.243 Cu
6.610 2.729 3.704 Cu
7.553 6.034 1.338 Cu
5.668 4.946 2.876 Cu
10.451 4.360 3.704 Cu
8.567 3.273 5.243 Cu
9.002 8.177 4.628 Cu
7.117 7.089 6.167 Cu
9.002 2.217 0.414 Cu
7.117 1.129 1.953 Cu
10.640 2.075 4.628 Cu
10.640 4.251 6.167 Cu
5.479 5.055 0.414 Cu
5.479 7.231 1.953 Cu
4.537 3.707 4.628 Cu
6.421 2.619 6.167 Cu
9.698 6.687 0.414 Cu
11.582 5.599 1.953 Cu
4.030 2.327 1.645 La
12.089 6.980 4.935 La
```

# 18
First-principles (meta-GGA SCAN) data for CdNCl2 at its PBEsol-relaxed geometry, as listed in Alexandria.

D(E_F) = 0.0 states/eV/cell
SG = R-3m
formation energy (no corrections) = 0.2290 eV/atom

The structure in POSCAR format:
```
CdNCl2
1.0
-3.553 0.128 -1.421
-0.631 -0.921 -3.662
-2.717 -9.273 0.800
N Cl Cd
1 2 1
Cartesian
0.000 0.000 0.000 N
-4.645 -3.934 -4.213 Cl
-2.256 -6.132 -0.070 Cl
-3.451 -5.033 -2.142 Cd
```

# 19
First-principles (meta-GGA SCAN) data for Al2GePd at its PBEsol-relaxed geometry, as listed in Alexandria.

D(E_F) = 2.4 states/eV/cell
SG = I-42d
ΔH_f (0 K) = -0.17 eV per atom

The structure in POSCAR format:
```
Al2GePd
1.0
-2.632 -1.065 -2.868
-1.067 -3.226 2.178
-4.131 6.689 4.146
Ge Al Pd
2 4 2
Cartesian
-4.306 1.739 0.466 Ge
-1.850 -2.146 -0.345 Ge
-2.906 -1.531 1.919 Al
-3.784 -0.489 -0.709 Al
-3.541 4.539 2.983 Al
-5.430 2.276 2.717 Al
-3.524 0.659 2.989 Pd
0.000 0.000 0.000 Pd
```

# 20
First-principles (meta-GGA SCAN) data for CaFeP2Se at its PBEsol-relaxed geometry, as listed in Alexandria.

D(E_F) = 2.4 states/eV/cell
SG = P4/mmm
formation energy (no corrections) = -0.3611 eV/atom

The structure in POSCAR format:
```
CaFeP2Se
1.0
-3.450 -1.759 -1.625
2.054 -3.639 -0.422
-1.586 -1.471 4.961
P Ca Fe Se
2 1 1 1
Cartesian
1.027 -1.819 -0.211 P
-1.725 -0.879 -0.812 P
-1.491 -3.434 1.457 Ca
0.000 0.000 0.000 Fe
-0.793 -0.736 2.480 Se
```

# 21
First-principles (meta-GGA SCAN) data for NiB2Mo2 at its PBEsol-relaxed geometry, as listed in Alexandria.

D(E_F) = 1.7 states/eV/cell
SG = Immm
ΔH_f (0 K) = -0.48 eV per atom

The structure in POSCAR format:
```
NiB2Mo2
1.0
-0.849 -1.541 2.633
3.431 -0.255 2.861
0.107 2.735 3.539
Ni Mo B
1 2 2
Cartesian
0.000 0.000 0.000 Ni
1.797 0.503 6.586 Mo
0.892 0.436 2.447 Mo
2.020 -0.138 4.379 B
0.669 1.077 4.654 B
```

# 22
First-principles (meta-GGA SCAN) data for Li3MgNi at its PBEsol-relaxed geometry, as listed in Alexandria.

D(E_F) = 2.4 states/eV/cell
SG = Pm-3m
ΔH_f (0 K) = 0.30 eV per atom

The structure in POSCAR format:
```
Li3MgNi
1.0
-1.617 -0.568 4.150
-0.982 -4.273 -0.967
4.072 -1.256 1.414
Ni Mg Li
1 1 3
Cartesian
0.000 0.000 0.000 Ni
0.737 -3.048 2.298 Mg
-0.491 -2.136 -0.484 Li
2.036 -0.628 0.707 Li
-0.808 -0.284 2.075 Li
```

# 23
First-principles (meta-GGA SCAN) data for ReNiTe2N at its PBEsol-relaxed geometry, as listed in Alexandria.

D(E_F) = 1.8 states/eV/cell
SG = P4/mmm
formation energy (no corrections) = 0.6530 eV/atom

The structure in POSCAR format:
```
ReNiTe2N
1.0
-0.702 2.059 -2.953
-4.421 1.717 2.249
2.645 3.990 2.153
Re N Te Ni
1 1 2 1
Cartesian
0.000 0.000 0.000 Re
-0.351 1.030 -1.476 N
1.323 1.995 1.077 Te
-2.210 0.859 1.125 Te
-1.239 3.883 0.725 Ni
```

# 24
First-principles (meta-GGA SCAN) data for Sr2YCu2AgO7 at its PBEsol-relaxed geometry, as listed in Alexandria.

D(E_F) = 5.9 states/eV/cell
SG = Ima2
formation energy (no corrections) = -1.9820 eV/atom

The structure in POSCAR format:
```
Sr2YCu2AgO7
1.0
-4.349 -2.458 -1.745
0.216 -3.316 4.132
-4.649 10.296 5.105
Sr Y Cu Ag O
4 2 4 2 14
Cartesian
-6.853 3.880 3.601 Sr
-1.920 0.517 4.046 Sr
-4.576 3.447 6.537 Sr
-4.197 0.950 1.110 Sr
-2.171 -1.284 -0.804 Y
0.112 -1.713 2.134 Y
-7.786 3.369 6.631 Cu
-0.988 1.039 1.003 Cu
-5.717 6.257 5.439 Cu
-3.056 -1.850 2.195 Cu
-3.278 3.719 3.217 Ag
-5.500 0.744 4.348 Ag
-5.663 2.116 2.560 O
-3.082 1.855 5.618 O
-6.929 5.009 6.198 O
-1.737 -2.256 3.498 O
-7.035 6.668 4.133 O
-1.847 -0.599 1.431 O
-4.869 7.903 5.011 O
-4.013 -1.835 0.553 O
-4.760 6.246 7.078 O
-3.906 -3.494 2.618 O
-4.502 4.927 4.324 O
-4.271 -0.535 3.329 O
-6.593 2.027 5.507 O
-2.180 2.365 2.146 O
```

# 25
First-principles (meta-GGA SCAN) data for UCuSi2Ni at its PBEsol-relaxed geometry, as listed in Alexandria.

D(E_F) = 6.7 states/eV/cell
SG = I-4m2
formation energy (no corrections) = -0.3756 eV/atom

The structure in POSCAR format:
```
UCuSi2Ni
1.0
-1.737 2.376 -2.557
-3.482 -0.978 1.456
2.913 2.923 3.710
Ni Si U Cu
1 2 1 1
Cartesian
-1.589 1.322 2.308 Ni
0.231 2.750 2.399 Si
-2.536 1.571 0.210 Si
0.000 0.000 0.000 U
-0.716 2.999 0.301 Cu
```